No. 1
A geometry-optimized CrPbW2I structure, computed with PBE-GGA.

Cell: 4.8472 4.8472 5.2796 Å, 90.00 90.00 90.00°
Last column: nearest neighbours and their distance in Å.
Element x y z (fractional)
Cr (0.0000, 0.0000, 0.0000)  4 W 2.42, 2 Pb 2.64
Pb (0.0000, 0.0000, 0.5000)  2 Cr 2.64
W (0.0000, 0.5000, 0.0000)  2 Cr 2.42
W (0.5000, 0.0000, 0.0000)  2 Cr 2.42
I (0.5000, 0.5000, 0.5000)  4 Pb 3.43, 8 W 3.58

- E_tot: -6.466 eV/atom
- Raw formation energy: 1.6918 eV per atom
- Magnetic moment: 0.442 μB per atom

***

No. 2
A geometry-optimized Ce2BeOs3 structure, computed with PBE-GGA.

Cell: 5.1019 5.1019 5.1019 Å, 64.64 64.64 64.64°
Last column: nearest neighbours and their distance in Å.
Element x y z (fractional)
Ce (0.1240, 0.1240, 0.1240)  9 Os 2.97-3.11, 4 Ce 2.99-3.31, 3 Be 3.19
Ce (0.8760, 0.8760, 0.8760)  9 Os 2.97-3.11, 4 Ce 2.99-3.31, 3 Be 3.19
Be (0.5000, 0.5000, 0.5000)  6 Os 2.55
Os (0.0000, 0.5000, 0.5000)  2 Be 2.55, 4 Os 2.73
Os (0.5000, 0.0000, 0.5000)  2 Be 2.55, 4 Os 2.73
Os (0.5000, 0.5000, 0.0000)  2 Be 2.55, 4 Os 2.73

- E_tot: -8.427 eV/atom
- E_form: -213 meV per atom
- Magnetic moment: 0.000 μB per atom

***

No. 3
A geometry-optimized GdHoCd4 structure, computed with PBE-GGA.

Cell: 5.9165 5.9165 5.9165 Å, 60.00 60.00 60.00°
Last column: nearest neighbours and their distance in Å.
Element x y z (fractional)
Gd (0.0000, 0.0000, 0.0000)  12 Cd 3.47, 4 Ho 3.62
Ho (0.7500, 0.7500, 0.7500)  12 Cd 3.47, 4 Gd 3.62
Cd (0.3751, 0.3751, 0.3751)  6 Cd 2.96
Cd (0.3751, 0.3751, 0.8748)  6 Cd 2.96
Cd (0.3751, 0.8748, 0.3751)  6 Cd 2.96
Cd (0.8748, 0.3751, 0.3751)  6 Cd 2.96

- E_tot: -3.982 eV/atom
- E_form: -262 meV per atom
- Magnetic moment: 1.260 μB per atom

***

No. 4
A geometry-optimized Na2Ga2Pt structure, computed with PBE-GGA.

Cell: 6.5846 6.5846 5.2948 Å, 90.00 90.00 90.00°
Last column: nearest neighbours and their distance in Å.
Element x y z (fractional)
Na (0.1827, 0.3173, 0.0000)  6 Ga 3.09-3.43, 5 Na 3.40-3.41
Na (0.3173, 0.8173, 0.0000)  6 Ga 3.09-3.43, 5 Na 3.40-3.41
Na (0.6827, 0.1827, 0.0000)  6 Ga 3.09-3.43, 5 Na 3.40-3.41
Na (0.8173, 0.6827, 0.0000)  6 Ga 3.09-3.43, 5 Na 3.40-3.41
Ga (0.1464, 0.6464, 0.5000)  2 Pt 2.52, 1 Ga 2.73
Ga (0.3536, 0.1464, 0.5000)  2 Pt 2.52, 1 Ga 2.73
Ga (0.6464, 0.8536, 0.5000)  2 Pt 2.52, 1 Ga 2.73
Ga (0.8536, 0.3536, 0.5000)  2 Pt 2.52, 1 Ga 2.73
Pt (0.0000, 0.0000, 0.5000)  4 Ga 2.52
Pt (0.5000, 0.5000, 0.5000)  4 Ga 2.52

- E_tot: -3.249 eV/atom
- E_form: -303 meV per atom
- Magnetic moment: 0.000 μB per atom

***

No. 5
A geometry-optimized Ca2AlSi3Ni4 structure, computed with PBE-GGA.

Cell: 3.9791 3.9791 9.8498 Å, 90.00 90.00 90.00°
Last column: nearest neighbours and their distance in Å.
Element x y z (fractional)
Ca (0.0000, 0.5000, 0.2456)  8 Ni 3.04-3.13, 6 Si 3.06-3.20, 2 Al 3.20
Ca (0.5000, 0.0000, 0.7544)  8 Ni 3.04-3.13, 6 Si 3.06-3.20, 2 Al 3.20
Al (0.0000, 0.0000, 0.5000)  4 Ni 2.41
Si (0.0000, 0.5000, 0.8766)  5 Ni 2.33-2.36
Si (0.5000, 0.0000, 0.1234)  5 Ni 2.33-2.36
Si (0.5000, 0.5000, 0.5000)  4 Ni 2.41
Ni (0.0000, 0.0000, 0.0000)  4 Si 2.33
Ni (0.0000, 0.5000, 0.6374)  3 Si 2.36-2.41, 2 Al 2.41
Ni (0.5000, 0.0000, 0.3626)  3 Si 2.36-2.41, 2 Al 2.41
Ni (0.5000, 0.5000, 0.0000)  4 Si 2.33

- E_tot: -5.315 eV/atom
- Raw formation energy: -0.6014 eV per atom
- Magnetic moment: 0.000 μB per atom

***

No. 6
A geometry-optimized BaPm2Ge structure, computed with PBE-GGA.

Cell: 3.8760 3.8760 9.3706 Å, 90.00 90.00 90.00°
Last column: nearest neighbours and their distance in Å.
Element x y z (fractional)
Ba (0.0000, 0.0000, 0.0000)  4 Ba 3.88, 8 Pm 4.19
Pm (0.5000, 0.5000, 0.3377)  1 Pm 3.04, 4 Ge 3.13
Pm (0.5000, 0.5000, 0.6623)  1 Pm 3.04, 4 Ge 3.13
Ge (0.0000, 0.0000, 0.5000)  8 Pm 3.13

- E_tot: -4.235 eV/atom
- E_form: -225 meV per atom
- Magnetic moment: 0.001 μB per atom

***

No. 7
A geometry-optimized Ce3Pa5S8 structure, computed with PBE-GGA.

Cell: 7.9409 7.9409 7.9409 Å, 58.87 58.87 58.87°
Last column: nearest neighbours and their distance in Å.
Element x y z (fractional)
Ce (0.0000, 0.5000, 0.5000)  6 S 2.81
Ce (0.5000, 0.0000, 0.5000)  6 S 2.81
Ce (0.5000, 0.5000, 0.0000)  6 S 2.81
Pa (0.0000, 0.0000, 0.0000)  6 S 2.78
Pa (0.0000, 0.0000, 0.5000)  6 S 2.76
Pa (0.0000, 0.5000, 0.0000)  6 S 2.76
Pa (0.5000, 0.0000, 0.0000)  6 S 2.76
Pa (0.5000, 0.5000, 0.5000)  6 S 2.78
S (0.2461, 0.7501, 0.7501)  4 Pa 2.76-2.78, 2 Ce 2.81
S (0.2479, 0.2479, 0.2479)  3 Pa 2.76, 3 Ce 2.81
S (0.2499, 0.2499, 0.7539)  4 Pa 2.76-2.78, 2 Ce 2.81
S (0.2499, 0.7539, 0.2499)  4 Pa 2.76-2.78, 2 Ce 2.81
S (0.7501, 0.2461, 0.7501)  4 Pa 2.76-2.78, 2 Ce 2.81
S (0.7501, 0.7501, 0.2461)  4 Pa 2.76-2.78, 2 Ce 2.81
S (0.7521, 0.7521, 0.7521)  3 Pa 2.76, 3 Ce 2.81
S (0.7539, 0.2499, 0.2499)  4 Pa 2.76-2.78, 2 Ce 2.81

- E_tot: -7.898 eV/atom
- Raw formation energy: -1.7539 eV per atom
- Magnetic moment: 0.134 μB per atom

***

No. 8
A geometry-optimized Rb2As2PtO6 structure, computed with PBE-GGA.

Cell: 6.9796 6.9796 6.2189 Å, 106.64 106.64 46.86°
Last column: nearest neighbours and their distance in Å.
Element x y z (fractional)
Rb (0.2196, 0.2196, 0.2140)  3 O 2.78-3.04
Rb (0.7804, 0.7804, 0.7860)  3 O 2.78-3.04
As (0.4805, 0.4805, 0.7908)  3 O 1.69-1.76
As (0.5195, 0.5195, 0.2092)  3 O 1.69-1.76
Pt (0.0000, 0.0000, 0.5000)  4 O 2.04
O (0.1929, 0.6944, 0.2494)  1 As 1.76
O (0.3056, 0.8071, 0.7506)  1 As 1.76
O (0.3428, 0.3428, 0.6705)  1 As 1.69
O (0.6572, 0.6572, 0.3295)  1 As 1.69
O (0.6944, 0.1929, 0.2494)  1 As 1.76
O (0.8071, 0.3056, 0.7506)  1 As 1.76

- E_tot: -5.497 eV/atom
- Raw formation energy: -1.2225 eV per atom
- Magnetic moment: 0.000 μB per atom

***

No. 9
A geometry-optimized RbBaTlS2 structure, computed with PBE-GGA.

Cell: 8.1026 6.7102 8.5089 Å, 90.00 90.88 90.00°
Last column: nearest neighbours and their distance in Å.
Element x y z (fractional)
Rb (0.0000, 0.0050, 0.2500)  4 S 3.27-3.28
Rb (0.0000, 0.9950, 0.7500)  4 S 3.27-3.28
Ba (0.5000, 0.0083, 0.7500)  4 S 3.11
Ba (0.5000, 0.9917, 0.2500)  4 S 3.11
Tl (0.0000, 0.5000, 0.0000)  2 S 3.02
Tl (0.0000, 0.5000, 0.5000)  2 S 3.02
S (0.2665, 0.1855, 0.0008)  1 Tl 3.02, 2 Ba 3.11, 2 Rb 3.27-3.28
S (0.2665, 0.8145, 0.5008)  1 Tl 3.02, 2 Ba 3.11, 2 Rb 3.27-3.28
S (0.7335, 0.1855, 0.4992)  1 Tl 3.02, 2 Ba 3.11, 2 Rb 3.27-3.28
S (0.7335, 0.8145, 0.9992)  1 Tl 3.02, 2 Ba 3.11, 2 Rb 3.27-3.28

- E_tot: -3.628 eV/atom
- Raw formation energy: -0.9260 eV per atom
- Magnetic moment: 0.000 μB per atom

***

No. 10
A geometry-optimized CrAgW2 structure, computed with PBE-GGA.

Cell: 4.4324 4.4324 4.4324 Å, 60.00 60.00 60.00°
Last column: nearest neighbours and their distance in Å.
Element x y z (fractional)
Cr (0.0000, 0.0000, 0.0000)  8 W 2.71
Ag (0.5000, 0.5000, 0.5000)  8 W 2.71
W (0.2500, 0.2500, 0.2500)  4 Ag 2.71, 4 Cr 2.71
W (0.7500, 0.7500, 0.7500)  4 Cr 2.71, 4 Ag 2.71

- E_tot: -8.805 eV/atom
- E_form: 790 meV per atom
- Magnetic moment: 0.000 μB per atom

***

No. 11
A geometry-optimized HfTi2Co structure, computed with PBE-GGA.

Cell: 3.0536 3.0536 6.9769 Å, 90.00 90.00 90.00°
Last column: nearest neighbours and their distance in Å.
Element x y z (fractional)
Hf (0.0000, 0.0000, 0.0000)  8 Ti 2.98, 4 Hf 3.05
Ti (0.5000, 0.5000, 0.2935)  4 Co 2.60, 1 Ti 2.88
Ti (0.5000, 0.5000, 0.7065)  4 Co 2.60, 1 Ti 2.88
Co (0.0000, 0.0000, 0.5000)  8 Ti 2.60

- E_tot: -8.376 eV/atom
- E_form: -164 meV per atom
- Magnetic moment: 0.007 μB per atom

***

No. 12
A geometry-optimized BaSrLa2Fe structure, computed with PBE-GGA.

Cell: 5.3975 5.3975 6.3992 Å, 90.00 90.00 90.00°
Last column: nearest neighbours and their distance in Å.
Element x y z (fractional)
Ba (0.0000, 0.0000, 0.0000)  4 Sr 3.82, 8 La 4.19
Sr (0.5000, 0.5000, 0.0000)  2 Fe 3.20
La (0.0000, 0.5000, 0.5000)  2 Fe 2.70
La (0.5000, 0.0000, 0.5000)  2 Fe 2.70
Fe (0.5000, 0.5000, 0.5000)  4 La 2.70

- E_tot: -4.216 eV/atom
- E_form: 168 meV per atom
- Magnetic moment: 0.000 μB per atom

***

- Which value of E_tot does entry 2 give?
  -8.427 eV/atom